(1)
A relaxed SmCdGa crystal, computed with PBE-GGA.

a b c (Å): 4.945 4.945 4.945
angles (deg): 60.00 60.00 60.00
Fractional coordinates of all 3 atoms:
Sm1 0.000 0.000 0.000
Cd1 0.750 0.750 0.750
Ga1 0.250 0.250 0.250

Calculated values
The calculation puts the uncorrected energy at -2.86 eV/atom. Its space group is No. 216. For the total magnetic moment, the calculation gives 0.00 μB/f.u.

---

(2)
A relaxed HfCdMo crystal, computed with PBE-GGA.

a b c (Å): 4.585 4.585 4.585
angles (deg): 60.00 60.00 60.00
Fractional coordinates of all 3 atoms:
Hf1 0.000 0.000 0.000
Cd1 0.500 0.500 0.500
Mo1 0.750 0.750 0.750

Calculated values
For the energy of formation from the pure elements, the calculation gives 0.929 eV/atom. The calculation puts the uncorrected energy at -6.30 eV/atom. Its space group is No. 216. For the total magnetic moment, the calculation gives 1.76 μB/f.u.

---

(3)
A relaxed ZnSnSO crystal, computed with PBE-GGA.

a b c (Å): 6.456 8.492 5.913
angles (deg): 90.00 90.00 90.00
Fractional coordinates of all 16 atoms:
Zn1 0.045 0.112 0.000
Zn2 0.455 0.112 0.500
Zn3 0.545 0.888 0.000
Zn4 0.955 0.888 0.500
Sn1 0.101 0.631 0.948
Sn2 0.399 0.631 0.448
Sn3 0.601 0.369 0.948
Sn4 0.899 0.369 0.448
S1 0.105 0.129 0.609
S2 0.395 0.129 0.109
S3 0.605 0.871 0.609
S4 0.895 0.871 0.109
O1 0.148 0.734 0.629
O2 0.352 0.734 0.129
O3 0.648 0.266 0.629
O4 0.852 0.266 0.129

Calculated values
The calculation puts the uncorrected energy at -4.53 eV/atom. Its space group is No. 29.

---

(4)
A relaxed Y4CdAuN2 crystal, computed with PBE-GGA.

a b c (Å): 3.524 3.524 15.216
angles (deg): 90.00 90.00 120.00
Fractional coordinates of all 8 atoms:
Y1 0.000 0.000 0.147
Y2 0.000 0.000 0.853
Y3 0.667 0.333 0.326
Y4 0.667 0.333 0.674
Cd1 0.000 0.000 0.500
Au1 0.667 0.333 0.000
N1 0.333 0.667 0.243
N2 0.333 0.667 0.757

Calculated values
The calculation puts the uncorrected energy at -6.84 eV/atom. Its space group is No. 187. For the total magnetic moment, the calculation gives 0.47 μB/f.u.

---

(5)
A relaxed GdMgCuS3 crystal, computed with PBE-GGA.

a b c (Å): 6.347 6.347 10.367
angles (deg): 90.00 90.00 146.01
Fractional coordinates of all 12 atoms:
Gd1 0.000 0.000 0.000
Gd2 0.000 0.000 0.500
Mg1 0.236 0.764 0.750
Mg2 0.764 0.236 0.250
Cu1 0.480 0.520 0.250
Cu2 0.520 0.480 0.750
S1 0.101 0.899 0.250
S2 0.352 0.648 0.086
S3 0.352 0.648 0.414
S4 0.648 0.352 0.586
S5 0.648 0.352 0.914
S6 0.899 0.101 0.750

Calculated values
The calculation puts the uncorrected energy at -5.00 eV/atom. Its space group is No. 63. For the total magnetic moment, the calculation gives 0.00 μB/f.u.

---

(6)
A relaxed PaGaO3 crystal, computed with PBE-GGA.

a b c (Å): 3.858 3.858 3.920
angles (deg): 90.00 90.00 90.00
Fractional coordinates of all 5 atoms:
Pa1 0.000 0.000 0.000
Ga1 0.500 0.500 0.500
O1 0.000 0.500 0.500
O2 0.500 0.000 0.500
O3 0.500 0.500 0.000

Calculated values
The calculation puts the uncorrected energy at -7.38 eV/atom. Its space group is No. 123. For the total magnetic moment, the calculation gives 2.00 μB/f.u.

---

> Which value of uncorrected energy does entry 1 give?

-2.86 eV/atom

---

Repeat the fifth record exactly.
A relaxed GdMgCuS3 crystal, computed with PBE-GGA.

a b c (Å): 6.347 6.347 10.367
angles (deg): 90.00 90.00 146.01
Fractional coordinates of all 12 atoms:
Gd1 0.000 0.000 0.000
Gd2 0.000 0.000 0.500
Mg1 0.236 0.764 0.750
Mg2 0.764 0.236 0.250
Cu1 0.480 0.520 0.250
Cu2 0.520 0.480 0.750
S1 0.101 0.899 0.250
S2 0.352 0.648 0.086
S3 0.352 0.648 0.414
S4 0.648 0.352 0.586
S5 0.648 0.352 0.914
S6 0.899 0.101 0.750

Calculated values
The calculation puts the uncorrected energy at -5.00 eV/atom. Its space group is No. 63. For the total magnetic moment, the calculation gives 0.00 μB/f.u.